A plane-wave DFT calculation with PBE was carried out for an optimized crystal structure of ScCuSnTe2S.

Cell: 7.378 7.378 9.950 Å, 90.00 90.00 147.96°
Fractional coordinates of all 12 atoms:
Cu 0.985 0.015 0.250
Cu 0.015 0.985 0.750
S 0.567 0.433 0.250
S 0.433 0.567 0.750
Sc 0.500 0.500 0.000
Sc 0.500 0.500 0.500
Sn 0.228 0.772 0.250
Sn 0.772 0.228 0.750
Te 0.856 0.144 0.058
Te 0.856 0.144 0.442
Te 0.144 0.856 0.558
Te 0.144 0.856 0.942

Summary:
- Space-group type: Cmcm (63)
- Magnetic moment: 0.004 μB/f.u.
- E_tot: -4.785 eV per atom

---

A plane-wave DFT calculation with PBE was carried out for an optimized crystal structure of ScCuSnTeS2.

Cell: 7.116 7.116 10.362 Å, 90.00 90.00 148.75°
Fractional coordinates of all 12 atoms:
Cu 0.031 0.969 0.250
Cu 0.969 0.031 0.750
S 0.123 0.877 0.064
S 0.123 0.877 0.436
S 0.877 0.123 0.564
S 0.877 0.123 0.936
Sc 0.500 0.500 0.000
Sc 0.500 0.500 0.500
Sn 0.705 0.295 0.250
Sn 0.295 0.705 0.750
Te 0.399 0.601 0.250
Te 0.601 0.399 0.750

Summary:
- Space-group type: Cmcm (63)
- Magnetic moment: 0.003 μB/f.u.
- E_tot: -5.049 eV per atom

---

A plane-wave DFT calculation with PBE was carried out for an optimized crystal structure of SrScCuS3.

Cell: 7.939 3.823 8.579 Å, 90.00 105.81 90.00°
Fractional coordinates of all 12 atoms:
Cu 0.412 0.750 0.409
Cu 0.588 0.250 0.591
S 0.390 0.750 0.135
S 0.947 0.750 0.155
S 0.269 0.250 0.474
S 0.731 0.750 0.526
S 0.053 0.250 0.845
S 0.610 0.250 0.865
Sc 0.174 0.250 0.162
Sc 0.826 0.750 0.838
Sr 0.700 0.250 0.243
Sr 0.300 0.750 0.757

Summary:
- Space-group type: P2_1/m (11)
- Magnetic moment: 0.001 μB/f.u.
- E_tot: -5.624 eV per atom

---

A plane-wave DFT calculation with PBE was carried out for an optimized crystal structure of SrScCuS3.

Cell: 8.567 8.567 7.856 Å, 101.96 101.96 25.73°
Fractional coordinates of all 12 atoms:
Cu 0.466 0.466 0.294
Cu 0.534 0.534 0.706
S 0.500 0.500 0.000
S 0.325 0.325 0.192
S 0.676 0.676 0.366
S 0.000 0.000 0.500
S 0.324 0.324 0.634
S 0.675 0.675 0.808
Sc 0.836 0.836 0.419
Sc 0.164 0.164 0.581
Sr 0.133 0.133 0.073
Sr 0.867 0.867 0.927

Summary:
- Space-group type: C2/m (12)
- Magnetic moment: 0.000 μB/f.u.
- E_tot: -5.554 eV per atom

---

A plane-wave DFT calculation with PBE was carried out for an optimized crystal structure of SrScCuTeS2.

Cell: 7.274 7.274 10.504 Å, 90.00 90.00 148.72°
Fractional coordinates of all 12 atoms:
Cu 0.521 0.479 0.250
Cu 0.479 0.521 0.750
S 0.615 0.385 0.070
S 0.615 0.385 0.430
S 0.385 0.615 0.570
S 0.385 0.615 0.930
Sc 0.000 0.000 0.000
Sc 0.000 0.000 0.500
Sr 0.210 0.790 0.250
Sr 0.790 0.210 0.750
Te 0.900 0.100 0.250
Te 0.100 0.900 0.750

Summary:
- Space-group type: Cmcm (63)
- Magnetic moment: 0.000 μB/f.u.
- E_tot: -5.252 eV per atom

---

A plane-wave DFT calculation with PBE was carried out for an optimized crystal structure of ScTlCuS3.

Cell: 14.329 3.752 10.027 Å, 90.00 90.00 90.00°
Fractional coordinates of all 24 atoms:
Cu 0.490 0.250 0.096
Cu 0.990 0.250 0.404
Cu 0.010 0.750 0.596
Cu 0.510 0.750 0.904
S 0.092 0.250 0.073
S 0.581 0.750 0.115
S 0.874 0.250 0.245
S 0.374 0.250 0.255
S 0.081 0.750 0.385
S 0.592 0.250 0.427
S 0.408 0.750 0.573
S 0.919 0.250 0.615
S 0.626 0.750 0.745
S 0.126 0.750 0.755
S 0.419 0.250 0.885
S 0.908 0.750 0.927
Sc 0.982 0.750 0.158
Sc 0.482 0.750 0.342
Sc 0.518 0.250 0.658
Sc 0.018 0.250 0.842
Tl 0.262 0.750 0.045
Tl 0.762 0.750 0.455
Tl 0.238 0.250 0.545
Tl 0.738 0.250 0.955

Summary:
- Space-group type: Pnma (62)
- Magnetic moment: 0.003 μB/f.u.
- E_tot: -5.072 eV per atom

---

A plane-wave DFT calculation with PBE was carried out for an optimized crystal structure of ScZnCuS3.

Cell: 6.191 6.191 9.965 Å, 90.00 90.00 146.68°
Fractional coordinates of all 12 atoms:
Cu 0.481 0.519 0.250
Cu 0.519 0.481 0.750
S 0.359 0.641 0.076
S 0.111 0.889 0.250
S 0.359 0.641 0.424
S 0.641 0.359 0.576
S 0.889 0.111 0.750
S 0.641 0.359 0.924
Sc 0.000 0.000 0.000
Sc 0.000 0.000 0.500
Zn 0.764 0.236 0.250
Zn 0.236 0.764 0.750

Summary:
- Space-group type: Cmcm (63)
- Magnetic moment: 0.002 μB/f.u.
- E_tot: -4.824 eV per atom

---

A plane-wave DFT calculation with PBE was carried out for an optimized crystal structure of Cu3SeS2.

Cell: 3.906 3.906 16.678 Å, 90.00 90.00 120.20°
Fractional coordinates of all 12 atoms:
Cu 0.838 0.162 0.101
Cu 0.136 0.864 0.250
Cu 0.838 0.162 0.399
Cu 0.162 0.838 0.601
Cu 0.864 0.136 0.750
Cu 0.162 0.838 0.899
S 0.503 0.497 0.064
S 0.503 0.497 0.436
S 0.497 0.503 0.564
S 0.497 0.503 0.936
Se 0.804 0.196 0.250
Se 0.196 0.804 0.750

Summary:
- Space-group type: Cmcm (63)
- E_tot: -3.944 eV per atom

---

A plane-wave DFT calculation with PBE was carried out for an optimized crystal structure of Cu2SeS.

Cell: 3.906 3.906 6.213 Å, 110.30 110.30 53.56°
Fractional coordinates of all 4 atoms:
Cu 0.992 0.992 0.006
Cu 0.500 0.500 0.485
S 0.833 0.833 0.254
Se 0.175 0.175 0.755

Summary:
- Space-group type: Cm (8)
- E_tot: -3.851 eV per atom